Here is a relaxed structure of Tm2CdSe4 from Alexandria. Energies are from GGA-PBEsol.

raw total energy: -5.25 eV/atom
formation energy without anion corrections: -1.48 eV per atom

a = 8.1372 Å, b = 8.1372 Å, c = 8.1372 Å
α = 60.00°, β = 60.00°, γ = 60.00°
With the nearest neighbours (Å) after each atom.
Element x y z (fractional)
Tm 0.0000 0.0000 0.0000  6 Se 2.80
Tm 0.0000 0.0000 0.5000  6 Se 2.80
Tm 0.0000 0.5000 0.0000  6 Se 2.80
Tm 0.5000 0.0000 0.0000  6 Se 2.80
Cd 0.3750 0.3750 0.3750  4 Se 2.64
Cd 0.6250 0.6250 0.6250  4 Se 2.64
Se 0.2282 0.7573 0.7573  1 Cd 2.64, 3 Tm 2.80
Se 0.2427 0.2427 0.2427  1 Cd 2.64, 3 Tm 2.80
Se 0.2427 0.2427 0.7718  1 Cd 2.64, 3 Tm 2.80
Se 0.2427 0.7718 0.2427  1 Cd 2.64, 3 Tm 2.80
Se 0.7573 0.2282 0.7573  1 Cd 2.64, 3 Tm 2.80
Se 0.7573 0.7573 0.2282  1 Cd 2.64, 3 Tm 2.80
Se 0.7573 0.7573 0.7573  1 Cd 2.64, 3 Tm 2.80
Se 0.7718 0.2427 0.2427  1 Cd 2.64, 3 Tm 2.80

=====

Here is a relaxed structure of Mn2ZnSe from Alexandria. Energies are from GGA-PBEsol.

raw total energy: -6.11 eV/atom
formation energy without anion corrections: 0.13 eV per atom

a = 3.3047 Å, b = 3.3047 Å, c = 5.1804 Å
α = 90.00°, β = 90.00°, γ = 90.00°
With the nearest neighbours (Å) after each atom.
Element x y z (fractional)
Mn 0.0000 0.0000 0.0000  2 Se 2.45-2.73, 4 Zn 2.56, 4 Mn 2.74
Mn 0.5000 0.5000 0.2747  2 Zn 2.47-2.71, 4 Se 2.55, 4 Mn 2.74
Zn 0.5000 0.5000 0.7977  6 Mn 2.47-2.71
Se 0.0000 0.0000 0.4730  6 Mn 2.45-2.73

=====

Here is a relaxed structure of TlReAu2 from Alexandria. Energies are from GGA-PBEsol.

raw total energy: -5.29 eV/atom
energy relative to the elements: 0.66 eV/atom

a = 4.0603 Å, b = 4.0603 Å, c = 4.2147 Å
α = 90.00°, β = 90.00°, γ = 90.00°
With the nearest neighbours (Å) after each atom.
Element x y z (fractional)
Tl 0.0000 0.0000 0.0000  4 Re 2.87, 8 Au 2.93
Re 0.5000 0.5000 0.0000  4 Tl 2.87, 8 Au 2.93
Au 0.0000 0.5000 0.5000  4 Au 2.87, 4 Tl 2.93, 4 Re 2.93
Au 0.5000 0.0000 0.5000  4 Au 2.87, 4 Tl 2.93, 4 Re 2.93

=====

Here is a relaxed structure of CrRh from Alexandria. Energies are from GGA-PBEsol.

raw total energy: -9.24 eV/atom
energy relative to the elements: -0.05 eV/atom

a = 4.6763 Å, b = 4.6763 Å, c = 4.4092 Å
α = 110.41°, β = 110.41°, γ = 33.56°
With the nearest neighbours (Å) after each atom.
Element x y z (fractional)
Cr 0.1501 0.1501 0.3423  2 Cr 2.27, 1 Rh 2.51
Cr 0.8499 0.8499 0.6577  2 Cr 2.27, 1 Rh 2.51
Rh 0.3918 0.3918 0.1802  7 Cr 2.51-2.64, 5 Rh 2.70-2.80
Rh 0.6082 0.6082 0.8198  7 Cr 2.51-2.64, 5 Rh 2.70-2.80

=====

Here is a relaxed structure of Sb3Te2 from Alexandria. Energies are from GGA-PBEsol.

raw total energy: -4.19 eV/atom
formation energy without anion corrections: -0.05 eV per atom

a = 10.1793 Å, b = 10.1793 Å, c = 10.1793 Å
α = 23.86°, β = 23.86°, γ = 23.86°
With the nearest neighbours (Å) after each atom.
Element x y z (fractional)
Sb 0.0000 0.0000 0.0000  6 Te 3.06
Sb 0.1941 0.1941 0.1941  3 Sb 2.93
Sb 0.8059 0.8059 0.8059  3 Sb 2.93
Te 0.3959 0.3959 0.3959  6 Sb 3.06-3.33
Te 0.6041 0.6041 0.6041  6 Sb 3.06-3.33

=====

Here is a relaxed structure of CaH2Au2 from Alexandria. Energies are from GGA-PBEsol.

raw total energy: -3.61 eV/atom

a = 6.1828 Å, b = 6.1828 Å, c = 3.7696 Å
α = 90.00°, β = 90.00°, γ = 90.00°
With the nearest neighbours (Å) after each atom.
Element x y z (fractional)
Ca 0.0000 0.0000 0.0000  4 H 2.34
Ca 0.5000 0.5000 0.0000  4 H 2.34
H 0.1555 0.3445 0.0000  2 Au 1.88
H 0.3445 0.8445 0.0000  2 Au 1.88
H 0.6555 0.1555 0.0000  2 Au 1.88
H 0.8445 0.6555 0.0000  2 Au 1.88
Au 0.1578 0.3422 0.5000  2 H 1.88
Au 0.3422 0.8422 0.5000  2 H 1.88
Au 0.6578 0.1578 0.5000  2 H 1.88
Au 0.8422 0.6578 0.5000  2 H 1.88

=====

Here is a relaxed structure of Be2RhAu from Alexandria. Energies are from GGA-PBEsol.

raw total energy: -5.41 eV/atom
energy relative to the elements: -0.39 eV/atom

a = 3.6641 Å, b = 4.4913 Å, c = 4.4913 Å
α = 37.82°, β = 90.00°, γ = 90.00°
With the nearest neighbours (Å) after each atom.
Element x y z (fractional)
Be 0.0000 0.0000 0.0000  2 Be 2.27, 3 Au 2.31-2.43, 4 Rh 2.39
Be 0.5000 0.1574 0.1574  2 Be 2.27, 3 Rh 2.35-2.41, 4 Au 2.42
Rh 0.5000 0.4409 0.4409  7 Be 2.35-2.41
Au 0.0000 0.7286 0.7286  7 Be 2.31-2.43

=====

Here is a relaxed structure of MnIrPb3 from Alexandria. Energies are from GGA-PBEsol.

raw total energy: -5.49 eV/atom
energy relative to the elements: 0.82 eV/atom

a = 5.2288 Å, b = 5.2288 Å, c = 5.2288 Å
α = 90.00°, β = 90.00°, γ = 90.00°
With the nearest neighbours (Å) after each atom.
Element x y z (fractional)
Mn 0.0000 0.0000 0.0000  12 Pb 3.70
Ir 0.5000 0.5000 0.5000  6 Pb 2.61
Pb 0.0000 0.5000 0.5000  2 Ir 2.61
Pb 0.5000 0.0000 0.5000  2 Ir 2.61
Pb 0.5000 0.5000 0.0000  2 Ir 2.61

=====

Here is a relaxed structure of Ti3PdO from Alexandria. Energies are from GGA-PBEsol.

raw total energy: -8.61 eV/atom
formation energy without anion corrections: -1.37 eV per atom

a = 5.7819 Å, b = 5.7819 Å, c = 5.7819 Å
α = 121.54°, β = 121.54°, γ = 87.36°
With the nearest neighbours (Å) after each atom.
Element x y z (fractional)
Ti 0.2071 0.7071 0.9143  2 O 2.03
Ti 0.2500 0.2500 0.0000  2 O 2.09
Ti 0.2929 0.2071 0.5000  2 O 2.03
Ti 0.7071 0.7929 0.5000  2 O 2.03
Ti 0.7500 0.7500 0.0000  2 O 2.09
Ti 0.7929 0.2929 0.0857  2 O 2.03
Pd 0.2500 0.7500 0.5000  8 Ti 2.67-2.82
Pd 0.7500 0.2500 0.5000  8 Ti 2.67-2.82
O 0.0000 0.0000 0.0000  6 Ti 2.03-2.09
O 0.5000 0.5000 0.0000  6 Ti 2.03-2.09

=====

Here is a relaxed structure of Ca2TcBr from Alexandria. Energies are from GGA-PBEsol.

raw total energy: -3.80 eV/atom
formation energy without anion corrections: 0.55 eV per atom

a = 5.0144 Å, b = 5.0144 Å, c = 5.0144 Å
α = 60.00°, β = 60.00°, γ = 60.00°
With the nearest neighbours (Å) after each atom.
Element x y z (fractional)
Ca 0.0000 0.0000 0.0000  4 Tc 3.07, 4 Ca 3.07
Ca 0.2500 0.2500 0.2500  4 Br 3.07, 4 Ca 3.07
Tc 0.7500 0.7500 0.7500  4 Br 3.07, 4 Ca 3.07
Br 0.5000 0.5000 0.5000  4 Ca 3.07, 4 Tc 3.07

=====

Here is a relaxed structure of ScMoIr from Alexandria. Energies are from GGA-PBEsol.

raw total energy: -9.63 eV/atom
energy relative to the elements: -0.23 eV/atom

a = 5.2807 Å, b = 5.2807 Å, c = 5.2807 Å
α = 147.27°, β = 142.37°, γ = 50.72°
With the nearest neighbours (Å) after each atom.
Element x y z (fractional)
Sc 0.0000 0.0000 0.0000  4 Ir 2.78, 5 Mo 2.84-3.05, 2 Sc 2.98
Mo 0.3197 0.3197 0.0000  4 Ir 2.68, 4 Sc 2.84, 2 Mo 2.98
Ir 0.6689 0.6689 0.0000  4 Mo 2.68, 4 Sc 2.78, 2 Ir 2.98

=====

Here is a relaxed structure of Tl2RhAu from Alexandria. Energies are from GGA-PBEsol.

raw total energy: -4.25 eV/atom
energy relative to the elements: 0.08 eV/atom

a = 6.5457 Å, b = 6.5457 Å, c = 4.4784 Å
α = 109.90°, β = 109.90°, γ = 27.00°
With the nearest neighbours (Å) after each atom.
Element x y z (fractional)
Tl 0.0000 0.0000 0.0000  2 Rh 2.82, 4 Au 2.98, 2 Tl 3.06
Tl 0.2144 0.2144 0.7143  4 Rh 2.72
Rh 0.6984 0.6984 0.1984  6 Tl 2.72-2.82, 2 Au 2.81
Au 0.3959 0.3959 0.3961  2 Rh 2.81, 6 Tl 2.98-3.12, 2 Au 3.06

=====

Here is a relaxed structure of La2YPd2 from Alexandria. Energies are from GGA-PBEsol.

raw total energy: -6.53 eV/atom
energy relative to the elements: -0.64 eV/atom

a = 7.8846 Å, b = 7.8846 Å, c = 4.0460 Å
α = 90.00°, β = 90.00°, γ = 90.00°
With the nearest neighbours (Å) after each atom.
Element x y z (fractional)
La 0.1689 0.3311 0.0000  6 Pd 3.02-3.12
La 0.3311 0.8311 0.0000  6 Pd 3.02-3.12
La 0.6689 0.1689 0.0000  6 Pd 3.02-3.12
La 0.8311 0.6689 0.0000  6 Pd 3.02-3.12
Y 0.0000 0.0000 0.5000  4 Pd 3.09
Y 0.5000 0.5000 0.5000  4 Pd 3.09
Pd 0.1295 0.6295 0.5000  1 Pd 2.89, 6 La 3.02-3.12, 2 Y 3.09
Pd 0.3705 0.1295 0.5000  1 Pd 2.89, 6 La 3.02-3.12, 2 Y 3.09
Pd 0.6295 0.8705 0.5000  1 Pd 2.89, 6 La 3.02-3.12, 2 Y 3.09
Pd 0.8705 0.3705 0.5000  1 Pd 2.89, 6 La 3.02-3.12, 2 Y 3.09

=====

Here is a relaxed structure of CsCaBr2 from Alexandria. Energies are from GGA-PBEsol.

raw total energy: -3.16 eV/atom
formation energy without anion corrections: -1.45 eV per atom

a = 10.3913 Å, b = 10.3913 Å, c = 10.3913 Å
α = 25.04°, β = 25.04°, γ = 25.04°
With the nearest neighbours (Å) after each atom.
Element x y z (fractional)
Cs 0.0000 0.0000 0.0000  2 Br 3.61
Ca 0.5000 0.5000 0.5000  6 Br 2.96
Br 0.1196 0.1196 0.1196  3 Ca 2.96
Br 0.8804 0.8804 0.8804  3 Ca 2.96